[1]
# TbDy9Sc2, optimized geometry, DFT GGA-PBE
data_TbDy9Sc2
_chemical_formula_sum 'Tb1 Dy9 Sc2'
_cell_length_a 11.0343
_cell_length_b 11.0343
_cell_length_c 3.4585
_cell_angle_alpha 90.00
_cell_angle_beta 90.00
_cell_angle_gamma 120.00
_space_group_name_H-M_alt 'P 6/m m m'
_space_group_IT_number 191
_space_group_name_Hall '-P 6 2'
loop_
_atom_site_label
_atom_site_type_symbol
_atom_site_fract_x
_atom_site_fract_y
_atom_site_fract_z
Tb1 Tb 0.0000 0.0000 0.0000
Dy1 Dy 0.0000 0.5000 0.0000
Dy2 Dy 0.1790 0.3580 0.5000
Sc1 Sc 0.3333 0.6667 0.0000
# Raw total energy in eV per atom: -4.8503
# DFT formation energy in eV/f.u.: 0.51

[2]
# TbDy4Sc8, optimized geometry, DFT GGA-PBE
data_TbDy4Sc8
_chemical_formula_sum 'Tb3 Dy12 Sc24'
_cell_length_a 10.4394
_cell_length_b 10.4394
_cell_length_c 12.7515
_cell_angle_alpha 90.00
_cell_angle_beta 90.00
_cell_angle_gamma 120.00
_space_group_name_H-M_alt 'R -3 m'
_space_group_IT_number 166
_space_group_name_Hall '-R 3 2"'
loop_
_atom_site_label
_atom_site_type_symbol
_atom_site_fract_x
_atom_site_fract_y
_atom_site_fract_z
Tb1 Tb 0.0000 0.0000 0.0000
Dy1 Dy 0.0000 0.0000 0.5000
Dy2 Dy 0.0000 0.5000 0.5000
Sc1 Sc 0.0000 0.0000 0.2603
Sc2 Sc 0.0135 0.5068 0.2460
# Raw total energy in eV per atom: -5.0719
# DFT formation energy in eV/f.u.: 7.76

[3]
# TbDy4Sc, optimized geometry, DFT GGA-PBE
data_TbDy4Sc
_chemical_formula_sum 'Tb4 Dy16 Sc4'
_cell_length_a 8.741
_cell_length_b 14.530
_cell_length_c 6.270
_cell_angle_alpha 90.00
_cell_angle_beta 110.69
_cell_angle_gamma 90.00
_space_group_name_H-M_alt 'C 1 2/c 1'
_space_group_IT_number 15
loop_
_space_group_symop_operation_xyz
'x,y,z'
'-x,-y,-z'
'-x,y,-z+1/2'
'x,-y,z+1/2'
'x+1/2,y+1/2,z'
'-x+1/2,-y+1/2,-z'
'-x+1/2,y+1/2,-z+1/2'
'x+1/2,-y+1/2,z+1/2'
loop_
_atom_site_label
_atom_site_type_symbol
_atom_site_fract_x
_atom_site_fract_y
_atom_site_fract_z
Tb1 Tb 0.000 0.087 0.250
Dy1 Dy 0.095 0.306 0.540
Dy2 Dy 0.207 0.122 0.875
Sc1 Sc 0.000 0.499 0.250
# Raw total energy in eV per atom: -4.7563
# DFT formation energy in eV/f.u.: 0.83

[4]
# TbDy12Sc7, optimized geometry, DFT GGA-PBE
data_TbDy12Sc7
_chemical_formula_sum 'Tb2 Dy24 Sc14'
_cell_length_a 10.952
_cell_length_b 10.952
_cell_length_c 10.952
_cell_angle_alpha 90.00
_cell_angle_beta 90.00
_cell_angle_gamma 90.00
_space_group_name_H-M_alt 'I m -3'
_space_group_IT_number 204
_space_group_name_Hall '-I 2 2 3'
loop_
_atom_site_label
_atom_site_type_symbol
_atom_site_fract_x
_atom_site_fract_y
_atom_site_fract_z
Tb1 Tb 0.000 0.000 0.000
Dy1 Dy 0.000 0.260 0.262
Sc1 Sc 0.000 0.000 0.500
Sc2 Sc 0.250 0.250 0.250
# Raw total energy in eV per atom: -4.5289
# DFT formation energy in eV/f.u.: 13.60

[5]
# Tb8Dy3Sc2, optimized geometry, DFT GGA-PBE
data_Tb8Dy3Sc2
_chemical_formula_sum 'Tb16 Dy6 Sc4'
_cell_length_a 19.473
_cell_length_b 7.667
_cell_length_c 5.582
_cell_angle_alpha 90.00
_cell_angle_beta 90.02
_cell_angle_gamma 90.00
_space_group_name_H-M_alt 'C 1 2/m 1'
_space_group_IT_number 12
loop_
_space_group_symop_operation_xyz
'x,y,z'
'-x,-y,-z'
'-x,y,-z'
'x,-y,z'
'x+1/2,y+1/2,z'
'-x+1/2,-y+1/2,-z'
'-x+1/2,y+1/2,-z'
'x+1/2,-y+1/2,z'
loop_
_atom_site_label
_atom_site_type_symbol
_atom_site_fract_x
_atom_site_fract_y
_atom_site_fract_z
Tb1 Tb 0.112 0.209 0.000
Tb2 Tb 0.135 0.500 0.500
Tb3 Tb 0.176 0.000 0.501
Dy1 Dy 0.000 0.213 0.500
Dy2 Dy 0.000 0.500 0.000
Sc1 Sc 0.241 0.500 0.999
# Raw total energy in eV per atom: -4.6542
# DFT formation energy in eV/f.u.: 3.01

[6]
# Tb4Dy2Sc, optimized geometry, DFT GGA-PBE
data_Tb4Dy2Sc
_chemical_formula_sum 'Tb16 Dy8 Sc4'
_cell_length_a 5.465
_cell_length_b 12.038
_cell_length_c 13.378
_cell_angle_alpha 90.00
_cell_angle_beta 90.00
_cell_angle_gamma 90.00
_space_group_name_H-M_alt 'P b c a'
_space_group_IT_number 61
loop_
_space_group_symop_operation_xyz
'x,y,z'
'-x,-y,-z'
'-x+1/2,-y,z+1/2'
'x+1/2,y,-z+1/2'
'x+1/2,-y+1/2,-z'
'-x+1/2,y+1/2,z'
'-x,y+1/2,-z+1/2'
'x,-y+1/2,z+1/2'
loop_
_atom_site_label
_atom_site_type_symbol
_atom_site_fract_x
_atom_site_fract_y
_atom_site_fract_z
Tb1 Tb 0.001 0.244 0.075
Tb2 Tb 0.002 0.142 0.320
Dy1 Dy 0.000 0.069 0.844
Sc1 Sc 0.000 0.000 0.500
# Raw total energy in eV per atom: -4.6807
# DFT formation energy in eV/f.u.: 1.29

[7]
# Tb6Dy5Sc2, optimized geometry, DFT GGA-PBE
data_Tb6Dy5Sc2
_chemical_formula_sum 'Tb12 Dy10 Sc4'
_cell_length_a 11.269
_cell_length_b 20.133
_cell_length_c 3.548
_cell_angle_alpha 90.00
_cell_angle_beta 90.00
_cell_angle_gamma 90.00
_space_group_name_H-M_alt 'P b a m'
_space_group_IT_number 55
loop_
_space_group_symop_operation_xyz
'x,y,z'
'-x,-y,-z'
'-x,-y,z'
'x,y,-z'
'x+1/2,-y+1/2,-z'
'-x+1/2,y+1/2,z'
'-x+1/2,y+1/2,-z'
'x+1/2,-y+1/2,z'
loop_
_atom_site_label
_atom_site_type_symbol
_atom_site_fract_x
_atom_site_fract_y
_atom_site_fract_z
Tb1 Tb 0.081 0.155 0.000
Tb2 Tb 0.167 0.883 0.500
Tb3 Tb 0.218 0.555 0.500
Dy1 Dy 0.000 0.000 0.000
Dy2 Dy 0.060 0.422 0.000
Dy3 Dy 0.145 0.721 0.000
Sc1 Sc 0.114 0.287 0.500
# Raw total energy in eV per atom: -4.8277
# DFT formation energy in eV/f.u.: 0.70

[8]
# TbDy15Sc4, optimized geometry, DFT GGA-PBE
data_TbDy15Sc4
_chemical_formula_sum 'Tb1 Dy15 Sc4'
_cell_length_a 4.935
_cell_length_b 4.935
_cell_length_c 24.585
_cell_angle_alpha 90.00
_cell_angle_beta 90.00
_cell_angle_gamma 90.00
_space_group_name_H-M_alt 'P 4/m m m'
_space_group_IT_number 123
_space_group_name_Hall '-P 4 2'
loop_
_atom_site_label
_atom_site_type_symbol
_atom_site_fract_x
_atom_site_fract_y
_atom_site_fract_z
Tb1 Tb 0.000 0.000 0.000
Dy1 Dy 0.000 0.500 0.103
Dy2 Dy 0.000 0.500 0.302
Dy3 Dy 0.000 0.500 0.500
Dy4 Dy 0.500 0.500 0.000
Dy5 Dy 0.500 0.500 0.203
Dy6 Dy 0.500 0.500 0.401
Sc1 Sc 0.000 0.000 0.203
Sc2 Sc 0.000 0.000 0.401
# Raw total energy in eV per atom: -4.9139
# DFT formation energy in eV/f.u.: 0.71

[9]
# TbDy8Sc2, optimized geometry, DFT GGA-PBE
data_TbDy8Sc2
_chemical_formula_sum 'Tb2 Dy16 Sc4'
_cell_length_a 16.396
_cell_length_b 6.533
_cell_length_c 6.485
_cell_angle_alpha 90.00
_cell_angle_beta 100.65
_cell_angle_gamma 90.00
_space_group_name_H-M_alt 'C 1 2/m 1'
_space_group_IT_number 12
loop_
_space_group_symop_operation_xyz
'x,y,z'
'-x,-y,-z'
'-x,y,-z'
'x,-y,z'
'x+1/2,y+1/2,z'
'-x+1/2,-y+1/2,-z'
'-x+1/2,y+1/2,-z'
'x+1/2,-y+1/2,z'
loop_
_atom_site_label
_atom_site_type_symbol
_atom_site_fract_x
_atom_site_fract_y
_atom_site_fract_z
Tb1 Tb 0.000 0.000 0.000
Dy1 Dy 0.090 0.263 0.415
Dy2 Dy 0.093 0.500 0.914
Dy3 Dy 0.241 0.000 0.302
Sc1 Sc 0.204 0.000 0.791
# Raw total energy in eV per atom: -4.7075
# DFT formation energy in eV/f.u.: 2.33